Entry 1:
The following is a DFT calculation (PBE-GGA) of crystalline VRu2C2 at its relaxed geometry.

```
VRu2C2
1.0
-0.359 3.498 -1.267
-2.972 -1.036 -2.016
-3.971 2.069 1.327
C V Ru
2 1 2
direct
0.598 0.598 0.804
0.402 0.402 0.196
0.000 0.000 0.000
0.250 0.750 0.500
0.750 0.250 0.500
```

Summary:
The calculation puts the formation enthalpy at 0 K at 48 kJ/mol of atoms. For the energy above the most stable polymorph in this dataset, the calculation gives 0.0 meV per atom. The value obtained for the density of states at the Fermi level is 1.009 states/eV/atom. The symmetry is No. 139.



Entry 2:
The following is a DFT calculation (PBE-GGA) of crystalline V2RuC at its relaxed geometry.

```
V2RuC
1.0
-2.276 -1.575 0.739
-0.018 -1.399 2.499
-3.418 4.191 3.968
V C Ru
2 1 1
direct
0.274 0.274 0.176
0.057 0.057 0.824
0.666 0.666 0.999
0.503 0.503 0.500
```

Summary:
The calculation puts the formation enthalpy at 0 K at -36 kJ/mol of atoms. The value obtained for the density of states at the Fermi level is 0.721 states/eV/atom. The symmetry is No. 8.



Entry 3:
The following is a DFT calculation (PBE-GGA) of crystalline V2RuC at its relaxed geometry.

```
V2RuC
1.0
-0.061 2.853 0.143
-1.974 1.308 1.599
3.368 1.217 5.714
V Ru C
2 1 1
direct
0.275 0.275 0.176
0.725 0.725 0.824
0.500 0.500 0.500
0.000 0.000 0.000
```

Summary:
The calculation puts the formation enthalpy at 0 K at -37 kJ/mol of atoms. The value obtained for the density of states at the Fermi level is 0.847 states/eV/atom. The symmetry is No. 166.



Entry 4:
The following is a DFT calculation (PBE-GGA) of crystalline VRuC2 at its relaxed geometry.

```
VRuC2
1.0
0.000 2.633 2.633
2.633 0.000 2.633
2.633 2.633 0.000
Ru C V
1 2 1
direct
0.500 0.500 0.500
0.750 0.750 0.750
0.250 0.250 0.250
0.000 0.000 0.000
```

Summary:
The calculation puts the formation enthalpy at 0 K at 73 kJ/mol of atoms. For the energy above the most stable polymorph in this dataset, the calculation gives 339.6 meV per atom. The value obtained for the density of states at the Fermi level is 0.530 states/eV/atom. The symmetry is No. 225.



Number 1: total moment 1.2 μB per formula unit. Number 2: total moment 0.0 μB per formula unit. Number 3: total moment 0.0 μB per formula unit. Number 4: total moment 1.2 μB per formula unit.